# 1
BeCuTc2: optimized geometry, GGA-PBEsol.

* formation energy: 22.7 kJ/mol of atoms

a = 8.5103 Å, b = 8.5103 Å, c = 8.5103 Å
α = 17.63°, β = 17.63°, γ = 17.63°
Last column: nearest neighbours and their distance in Å.
Fractional positions:
Be 0.0000 0.0000 0.0000  6 Tc 2.50, 6 Be 2.61
Cu 0.5000 0.5000 0.5000  6 Cu 2.61, 6 Tc 2.66
Tc 0.2538 0.2538 0.2538  3 Be 2.50, 6 Tc 2.61, 3 Cu 2.66
Tc 0.7462 0.7462 0.7462  3 Be 2.50, 6 Tc 2.61, 3 Cu 2.66

=====

# 2
InAsSe2Br: optimized geometry, GGA-PBEsol.

* energy relative to the elements, uncorrected: 0.079 eV/f.u.

a = 5.0057 Å, b = 5.0057 Å, c = 5.3414 Å
α = 90.00°, β = 90.00°, γ = 90.00°
Last column: nearest neighbours and their distance in Å.
Fractional positions:
In 0.0000 0.0000 0.0000  4 Br 3.54, 8 Se 3.66
As 0.5000 0.5000 0.5000  4 Se 2.50, 2 Br 2.67
Se 0.0000 0.5000 0.5000  2 As 2.50
Se 0.5000 0.0000 0.5000  2 As 2.50
Br 0.5000 0.5000 0.0000  2 As 2.67

=====

The evaluated DOS at the Fermi energy for the records listed, in turn: 3.2, 3.1 states/eV/f.u..
The evaluated calculated density for the records listed, in turn: 9.04, 5.30 Mg/m³.